[1]
First-principles (GGA-PBE) data for a geometry-optimized K2PmTl6 structure, as listed in Alexandria. Values from VASP.

Quantum ESPRESSO input file:
```
&SYSTEM
  ibrav = 0, nat = 9, ntyp = 3
/
ATOMIC_SPECIES
K 39.10 K.upf
Pm 145.00 Pm.upf
Tl 204.38 Tl.upf
ATOMIC_POSITIONS angstrom
K 0.6899 2.1326 4.9656
K -2.0281 5.6797 9.8007
Pm 0.0000 0.0000 0.0000
Tl -2.1587 0.2014 6.2597
Tl -1.4886 2.2879 11.1136
Tl 0.8206 7.6110 8.5066
Tl -1.2654 2.5314 8.0564
Tl 0.1505 5.5244 3.6526
Tl -0.0727 5.2810 6.7098
CELL_PARAMETERS angstrom
-3.4083 1.4135 -0.1328
-0.6776 -0.7487 9.3832
2.7478 7.1476 5.5159
```

## Properties
**Mass density**: 8.5 Mg/m³
**Spin magnetization**: 0.0003 μB per atom
**DOS(E_F)**: 4.90 states/eV/f.u.
**Energy of formation from the pure elements**: -0.110 eV/atom
**Total energy**: -2.459 eV per atom

[2]
First-principles (GGA-PBE) data for a geometry-optimized LaTb4Sm2Er structure, as listed in Alexandria. Values from VASP.

Quantum ESPRESSO input file:
```
&SYSTEM
  ibrav = 0, nat = 16, ntyp = 4
/
ATOMIC_SPECIES
La 138.91 La.upf
Tb 158.93 Tb.upf
Sm 150.36 Sm.upf
Er 167.26 Er.upf
ATOMIC_POSITIONS angstrom
La 1.8023 1.3147 2.8444
La 0.0000 -0.0006 0.0016
Tb 1.3635 8.4794 -2.4887
Tb 3.7394 -0.8760 4.9213
Tb -0.1381 3.5028 0.7705
Tb 2.2387 -5.8527 8.1793
Tb 4.9697 8.6503 -2.5483
Tb 3.4634 3.6723 0.7123
Tb 0.1394 -1.0450 4.9781
Tb -1.3683 -6.0236 8.2409
Sm 3.6041 0.1692 -0.0578
Sm 1.5138 6.6487 0.5631
Sm 5.6893 -3.8528 5.0703
Sm 0.2852 -2.8779 8.0303
Er 3.8875 -2.7090 7.9734
Er -1.8010 1.1446 2.9041
CELL_PARAMETERS angstrom
7.2054 0.3382 -0.1156
-0.5731 10.6710 -4.5641
-3.0303 -8.3823 10.3711
```

## Properties
**Mass density**: 7.9 Mg/m³
**Spin magnetization**: 0.0000 μB per atom
**DOS(E_F)**: 11.23 states/eV/f.u.
**Energy of formation from the pure elements**: 0.002 eV/atom
**Total energy**: -4.679 eV per atom

[3]
First-principles (GGA-PBE) data for a geometry-optimized Ta2SbTe structure, as listed in Alexandria. Values from VASP.

Quantum ESPRESSO input file:
```
&SYSTEM
  ibrav = 0, nat = 4, ntyp = 3
/
ATOMIC_SPECIES
Sb 121.76 Sb.upf
Ta 180.95 Ta.upf
Te 127.60 Te.upf
ATOMIC_POSITIONS angstrom
Sb 1.1491 -5.2348 1.9042
Ta 3.3372 -4.5861 3.7224
Ta 1.7282 -2.3749 1.9277
Te -0.5394 -2.9145 0.0208
CELL_PARAMETERS angstrom
-2.9687 -1.4481 0.8774
0.2015 -2.0605 -2.7192
3.3770 -4.6407 3.7667
```

## Properties
**Mass density**: 12.7 Mg/m³
**Spin magnetization**: 0.0001 μB per atom
**Excess energy over the best structure of this formula in the dataset**: 225 meV/atom
**DOS(E_F)**: 4.25 states/eV/f.u.
**Uncorrected formation energy**: 16.04 kJ/mol of atoms
**Total energy**: -7.576 eV per atom

[4]
First-principles (GGA-PBE) data for a geometry-optimized Y2Zn2Au structure, as listed in Alexandria. Values from VASP.

Quantum ESPRESSO input file:
```
&SYSTEM
  ibrav = 0, nat = 5, ntyp = 3
/
ATOMIC_SPECIES
Y 88.91 Y.upf
Zn 65.41 Zn.upf
Au 196.97 Au.upf
ATOMIC_POSITIONS angstrom
Y 0.1145 -5.3522 -3.8618
Y 3.5314 -3.3437 -4.4633
Zn 1.1685 -2.8332 -2.8225
Zn 2.4774 -5.8627 -5.5025
Au 0.0000 0.0000 0.0000
CELL_PARAMETERS angstrom
-2.8171 -4.0472 -2.7978
4.0169 -0.0302 -4.0009
2.4460 -4.6185 -1.5264
```

## Properties
**Mass density**: 7.1 Mg/m³
**Spin magnetization**: 0.1019 μB per atom
**Excess energy over the best structure of this formula in the dataset**: 331 meV/atom
**DOS(E_F)**: 5.39 states/eV/f.u.
**Energy of formation from the pure elements**: -0.189 eV/atom
**Total energy**: -3.939 eV per atom

[5]
First-principles (GGA-PBE) data for a geometry-optimized BaLi2In structure, as listed in Alexandria. Values from VASP.

Quantum ESPRESSO input file:
```
&SYSTEM
  ibrav = 0, nat = 4, ntyp = 3
/
ATOMIC_SPECIES
Ba 137.33 Ba.upf
In 114.82 In.upf
Li 6.94 Li.upf
ATOMIC_POSITIONS angstrom
Ba 0.0000 3.0595 3.6151
In 2.4593 4.9651 5.4839
Li 0.0000 3.1783 0.1176
Li 2.4593 1.1942 0.9445
CELL_PARAMETERS angstrom
4.9186 0.0000 0.0000
0.0000 3.8817 0.0673
0.0000 1.7952 6.6619
```

## Properties
**Mass density**: 3.5 Mg/m³
**Spin magnetization**: 0.0000 μB per atom
**DOS(E_F)**: 2.75 states/eV/f.u.
**Energy of formation from the pure elements**: -0.125 eV/atom
**Total energy**: -2.247 eV per atom

[6]
First-principles (GGA-PBE) data for a geometry-optimized HoPu2F11 structure, as listed in Alexandria. Values from VASP.

Quantum ESPRESSO input file:
```
&SYSTEM
  ibrav = 0, nat = 28, ntyp = 3
/
ATOMIC_SPECIES
Ho 164.93 Ho.upf
Pu 244.00 Pu.upf
F 19.00 F.upf
ATOMIC_POSITIONS angstrom
Ho -8.1778 -10.4220 7.1400
Ho -2.7259 -3.4740 2.3800
Pu -7.5244 -7.4261 3.9905
Pu -3.3793 -6.4699 5.5295
Pu -5.9404 -7.1140 9.0963
Pu -4.9634 -6.7820 0.4237
F -7.4048 -8.9579 5.5460
F -3.4990 -4.9381 3.9741
F -2.8123 -7.8595 3.9396
F -9.7290 -12.0556 7.5954
F -8.0915 -6.0366 5.5805
F -1.1748 -1.8404 1.9246
F -6.0638 -11.1830 6.6564
F -4.8400 -2.7130 2.8637
F -5.4519 -6.9480 4.7600
F 0.0000 0.0000 0.0000
F -9.5752 -7.9097 4.1225
F -1.3286 -5.9863 5.3975
F -5.1209 -6.8986 7.1627
F -5.7829 -6.9975 2.3573
F -7.5281 -9.0010 2.4584
F -3.3757 -4.8950 7.0617
F -2.6665 -7.9122 7.0261
F -0.8590 -4.2606 3.4299
F -8.2373 -5.9838 2.4940
F -10.0447 -9.6355 6.0901
F -4.0525 -4.9861 1.3030
F -6.8512 -8.9099 8.2171
CELL_PARAMETERS angstrom
-6.7014 -1.6321 4.8228
-4.9624 -6.7551 -1.8380
0.7600 -5.5088 6.5353
```

## Properties
**Mass density**: 6.1 Mg/m³
**Spin magnetization**: 0.5714 μB per atom
**DOS(E_F)**: 18.26 states/eV/f.u.
**Uncorrected formation energy**: -350.11 kJ/mol of atoms
**Total energy**: -7.473 eV per atom

[7]
First-principles (GGA-PBE) data for a geometry-optimized CdCuOs2Pb structure, as listed in Alexandria. Values from VASP.

Quantum ESPRESSO input file:
```
&SYSTEM
  ibrav = 0, nat = 5, ntyp = 4
/
ATOMIC_SPECIES
Pb 207.20 Pb.upf
Os 190.23 Os.upf
Cu 63.55 Cu.upf
Cd 112.41 Cd.upf
ATOMIC_POSITIONS angstrom
Pb 0.0000 2.4309 0.0000
Os 0.0000 0.0000 2.3285
Os 2.3285 0.0000 0.0000
Cu 0.0000 0.0000 0.0000
Cd 2.3285 2.4309 2.3285
CELL_PARAMETERS angstrom
4.6569 0.0000 0.0000
0.0000 4.8618 0.0000
0.0000 0.0000 4.6569
```

## Properties
**Mass density**: 12.0 Mg/m³
**Spin magnetization**: 0.4980 μB per atom
**DOS(E_F)**: 6.21 states/eV/f.u.
**Energy of formation from the pure elements**: 1.684 eV/atom
**Total energy**: -4.552 eV per atom

[8]
First-principles (GGA-PBE) data for a geometry-optimized Be2NO structure, as listed in Alexandria. Values from VASP.

Quantum ESPRESSO input file:
```
&SYSTEM
  ibrav = 0, nat = 4, ntyp = 3
/
ATOMIC_SPECIES
Be 9.01 Be.upf
O 16.00 O.upf
N 14.01 N.upf
ATOMIC_POSITIONS angstrom
Be -0.0995 -0.1524 2.0502
Be -0.2986 -0.4572 6.1507
O -0.1991 -0.3048 4.1005
N 0.0000 0.0000 0.0000
CELL_PARAMETERS angstrom
1.0093 -1.7709 2.6725
0.6525 1.5633 2.9031
-2.0601 -0.4020 2.6253
```

## Properties
**Mass density**: 3.0 Mg/m³
**Spin magnetization**: 0.0000 μB per atom
**Excess energy over the best structure of this formula in the dataset**: 1304 meV/atom
**DOS(E_F)**: 1.74 states/eV/f.u.
**Uncorrected formation energy**: -4.87 kJ/mol of atoms
**Total energy**: -5.234 eV per atom

[9]
First-principles (GGA-PBE) data for a geometry-optimized FeOs structure, as listed in Alexandria. Values from VASP.

Quantum ESPRESSO input file:
```
&SYSTEM
  ibrav = 0, nat = 4, ntyp = 2
/
ATOMIC_SPECIES
Fe 55.84 Fe.upf
Os 190.23 Os.upf
ATOMIC_POSITIONS angstrom
Fe 0.0000 2.1759 1.2547
Fe 1.8844 1.0879 3.7642
Os 0.0000 0.0000 0.0000
Os 0.0000 0.0000 2.5095
CELL_PARAMETERS angstrom
3.7687 0.0000 0.0000
-1.8844 3.2638 0.0000
0.0000 0.0000 5.0190
```

## Properties
**Mass density**: 13.2 Mg/m³
**Spin magnetization**: 1.0330 μB per atom
**DOS(E_F)**: 2.70 states/eV/f.u.
**Energy of formation from the pure elements**: 0.944 eV/atom
**Total energy**: -8.903 eV per atom

[10]
First-principles (GGA-PBE) data for a geometry-optimized PrSmRuPt structure, as listed in Alexandria. Values from VASP.

Quantum ESPRESSO input file:
```
&SYSTEM
  ibrav = 0, nat = 4, ntyp = 4
/
ATOMIC_SPECIES
Pr 140.91 Pr.upf
Ru 101.07 Ru.upf
Sm 150.36 Sm.upf
Pt 195.08 Pt.upf
ATOMIC_POSITIONS angstrom
Pr 0.0000 0.0000 0.0000
Ru -2.9067 0.9552 -0.3407
Sm -5.8134 1.9103 -0.6814
Pt -8.7201 2.8655 -1.0221
CELL_PARAMETERS angstrom
-3.1568 2.5710 -2.9491
-4.7810 -1.4841 -0.4610
-3.6890 2.7337 2.0472
```

## Properties
**Mass density**: 10.9 Mg/m³
**Spin magnetization**: 0.0000 μB per atom
**DOS(E_F)**: 3.12 states/eV/f.u.
**Energy of formation from the pure elements**: -0.565 eV/atom
**Total energy**: -6.768 eV per atom

[11]
First-principles (GGA-PBE) data for a geometry-optimized BeFe2Cl structure, as listed in Alexandria. Values from VASP.

Quantum ESPRESSO input file:
```
&SYSTEM
  ibrav = 0, nat = 4, ntyp = 3
/
ATOMIC_SPECIES
Be 9.01 Be.upf
Fe 55.84 Fe.upf
Cl 35.45 Cl.upf
ATOMIC_POSITIONS angstrom
Be -1.4461 -4.7976 2.1196
Fe 1.7004 -2.8225 4.1215
Fe -0.0744 -3.0907 2.3314
Cl -0.4820 -1.5992 0.7065
CELL_PARAMETERS angstrom
-3.4515 -1.0141 -0.0485
-1.0668 -2.6680 -2.1651
2.5901 -2.7148 5.0398
```

## Properties
**Mass density**: 3.9 Mg/m³
**Spin magnetization**: 1.2994 μB per atom
**Excess energy over the best structure of this formula in the dataset**: 73 meV/atom
**DOS(E_F)**: 1.80 states/eV/f.u.
**Uncorrected formation energy**: 15.11 kJ/mol of atoms
**Total energy**: -5.468 eV per atom

[12]
First-principles (GGA-PBE) data for a geometry-optimized AcLa4Ce structure, as listed in Alexandria. Values from VASP.

Quantum ESPRESSO input file:
```
&SYSTEM
  ibrav = 0, nat = 6, ntyp = 3
/
ATOMIC_SPECIES
Ac 227.00 Ac.upf
La 138.91 La.upf
Ce 140.12 Ce.upf
ATOMIC_POSITIONS angstrom
Ac 4.9151 0.4648 5.0236
La 4.6847 2.9292 7.9754
La 4.6853 2.9303 2.0726
La 2.4506 0.2350 2.0717
La 2.4497 0.2341 7.9747
Ce 2.2208 2.7002 0.0194
CELL_PARAMETERS angstrom
4.9297 0.4604 0.0008
-0.4600 4.9298 0.0008
-0.0014 -0.0016 10.0082
```

## Properties
**Mass density**: 6.2 Mg/m³
**Spin magnetization**: 0.2648 μB per atom
**DOS(E_F)**: 13.60 states/eV/f.u.
**Energy of formation from the pure elements**: 0.579 eV/atom
**Total energy**: -4.380 eV per atom

[13]
First-principles (GGA-PBE) data for a geometry-optimized CoSi2Ru structure, as listed in Alexandria. Values from VASP.

Quantum ESPRESSO input file:
```
&SYSTEM
  ibrav = 0, nat = 4, ntyp = 3
/
ATOMIC_SPECIES
Co 58.93 Co.upf
Ru 101.07 Ru.upf
Si 28.09 Si.upf
ATOMIC_POSITIONS angstrom
Co -8.0697 -7.4133 -3.4344
Ru -11.8704 -10.9048 -5.0519
Si -0.0277 -0.0254 -0.0118
Si -3.8927 -3.5760 -1.6567
CELL_PARAMETERS angstrom
-4.9330 -4.5534 -3.8100
-4.5363 -6.0709 -1.4667
-6.4377 -3.9888 -1.4931
```

## Properties
**Mass density**: 6.9 Mg/m³
**Spin magnetization**: 0.1831 μB per atom
**DOS(E_F)**: 3.64 states/eV/f.u.
**Uncorrected formation energy**: -3.96 kJ/mol of atoms
**Total energy**: -6.848 eV per atom